This record from the Open Quantum Materials Database describes a relaxed structure of LuTlIr. The functional is PBE.

Unit cell a=4.656 b=4.656 c=4.656 alpha=60.00 beta=60.00 gamma=60.00
Positions (direct):
Ir: 0.250 0.250 0.250
Lu: 0.750 0.750 0.750
Tl: 0.000 0.000 0.000

Values from the calculation:
For the total energy, the calculation gives -5.04 eV/atom. The density is 13.3 g/cm3. Its space group is F-43m, No. 216.

This record from the Open Quantum Materials Database describes a relaxed structure of Lu2TlIr. The functional is PBE.

Unit cell a=4.883 b=4.883 c=4.883 alpha=60.00 beta=60.00 gamma=60.00
Positions (direct):
Lu: 0.750 0.750 0.750
Lu: 0.000 0.000 0.000
Tl: 0.500 0.500 0.500
Ir: 0.250 0.250 0.250

Values from the calculation:
For the total energy, the calculation gives -5.36 eV/atom. The density is 15.1 g/cm3. Its space group is F-43m, No. 216.

This record from the Open Quantum Materials Database describes a relaxed structure of TmLuIr. The functional is PBE.

Unit cell a=4.645 b=4.645 c=4.645 alpha=60.00 beta=60.00 gamma=60.00
Positions (direct):
Tm: 0.750 0.750 0.750
Ir: 0.250 0.250 0.250
Lu: 0.000 0.000 0.000

Values from the calculation:
For the total energy, the calculation gives -5.80 eV/atom. As for the polymorph energy (0 for the lowest one): 957 meV per atom. The density is 12.6 g/cm3. Its space group is F-43m, No. 216.